# 1
First-principles (GGA-PBE) data for a relaxed KSrMg2 crystal, as listed in Alexandria via LeMat-Bulk.

Unit cell a=11.915 b=3.838 c=7.756 alpha=90.00 beta=98.20 gamma=90.00
Positions (direct):
K 0.000 0.000 0.000
K 0.500 0.500 0.000
Sr 0.000 0.500 0.500
Sr 0.500 0.000 0.500
Mg 0.243 0.000 0.673
Mg 0.257 0.500 0.327
Mg 0.743 0.500 0.673
Mg 0.757 0.000 0.327

Properties
**VASP energy**: -10.177 eV/cell
**Energy above the lowest structure with this stoichiometry**: 120 meV/atom
**ΔH_f (0 K)**: 0.2200 eV/atom
**Total magnetization**: 0.00 μB per formula unit

***

# 2
First-principles (GGA-PBE) data for a relaxed Pm2SmPu crystal, as listed in Alexandria via LeMat-Bulk.

Unit cell a=3.566 b=3.566 c=10.236 alpha=90.00 beta=90.00 gamma=90.00
Positions (direct):
Pm 0.000 0.000 0.242
Pm 0.000 0.000 0.758
Sm 0.500 0.500 0.500
Pu 0.500 0.500 0.000

Properties
**VASP energy**: -28.101 eV/cell
**Energy above the lowest structure with this stoichiometry**: 0 meV/atom
**ΔH_f (0 K)**: 0.1129 eV/atom
**Total magnetization**: 6.36 μB per formula unit

***

# 3
First-principles (GGA-PBE) data for a relaxed Ho14ErMg crystal, as listed in Alexandria via LeMat-Bulk.

Unit cell a=9.924 b=7.008 c=7.008 alpha=90.01 beta=90.00 gamma=90.00
Positions (direct):
Ho 0.000 0.000 0.000
Ho 0.000 0.000 0.500
Ho 0.000 0.500 0.000
Ho 0.000 0.500 0.500
Ho 0.251 0.249 0.249
Ho 0.251 0.249 0.751
Ho 0.251 0.751 0.249
Ho 0.251 0.751 0.751
Ho 0.500 0.000 0.500
Ho 0.500 0.500 0.000
Ho 0.749 0.249 0.249
Ho 0.749 0.249 0.751
Ho 0.749 0.751 0.249
Ho 0.749 0.751 0.751
Er 0.500 0.000 0.000
Mg 0.500 0.501 0.501

Properties
**VASP energy**: -69.881 eV/cell
**ΔH_f (0 K)**: 0.0228 eV/atom
**Total magnetization**: 0.00 μB per formula unit

***

# 4
First-principles (GGA-PBE) data for a relaxed CsPdBr3 crystal, as listed in Alexandria via LeMat-Bulk.

Unit cell a=9.020 b=9.020 c=9.020 alpha=47.74 beta=47.74 gamma=47.74
Positions (direct):
Cs 0.148 0.148 0.148
Cs 0.852 0.852 0.852
Pd 0.333 0.333 0.333
Pd 0.667 0.667 0.667
Br 0.062 0.678 0.448
Br 0.322 0.552 0.938
Br 0.448 0.062 0.678
Br 0.552 0.938 0.322
Br 0.678 0.448 0.062
Br 0.938 0.322 0.552

Properties
**VASP energy**: -29.546 eV/cell
**Formation energy from raw total energies**: -0.74 eV/atom
**Total magnetization**: 2.00 μB per formula unit

***

# 5
First-principles (GGA-PBE) data for a relaxed Sm6Ge2Te3Se crystal, as listed in Alexandria via LeMat-Bulk.

Unit cell a=9.773 b=9.773 c=8.774 alpha=104.31 beta=104.31 gamma=25.49
Positions (direct):
Sm 0.009 0.009 0.241
Sm 0.327 0.327 0.433
Sm 0.336 0.336 0.896
Sm 0.664 0.664 0.104
Sm 0.673 0.673 0.567
Sm 0.991 0.991 0.759
Ge 0.166 0.166 0.332
Ge 0.834 0.834 0.668
Te 0.164 0.164 0.834
Te 0.500 0.500 0.500
Te 0.836 0.836 0.166
Se 0.500 0.500 0.000

Properties
**VASP energy**: -67.046 eV/cell
**Formation energy from raw total energies**: -1.38 eV/atom
**Total magnetization**: 0.00 μB per formula unit

***

# 6
First-principles (GGA-PBE) data for a relaxed PmSmTh2N4 crystal, as listed in Alexandria via LeMat-Bulk.

Unit cell a=6.273 b=3.646 c=6.309 alpha=90.00 beta=109.59 gamma=90.00
Positions (direct):
Pm 0.000 0.000 0.000
Sm 0.000 0.500 0.500
Th 0.500 0.000 0.500
Th 0.500 0.500 0.000
N 0.260 0.000 0.752
N 0.261 0.500 0.254
N 0.739 0.500 0.746
N 0.740 0.000 0.248

Properties
**VASP energy**: -70.004 eV/cell
**Formation energy from raw total energies**: -1.55 eV/atom
**Total magnetization**: 0.00 μB per formula unit

***

# 7
First-principles (GGA-PBE) data for a relaxed DyHoTmTh crystal, as listed in Alexandria via LeMat-Bulk.

Unit cell a=7.969 b=7.969 c=7.969 alpha=90.00 beta=90.00 gamma=90.00
Positions (direct):
Dy 0.000 0.000 0.000
Dy 0.000 0.500 0.500
Dy 0.500 0.000 0.500
Dy 0.500 0.500 0.000
Ho 0.250 0.250 0.250
Ho 0.250 0.750 0.750
Ho 0.750 0.250 0.750
Ho 0.750 0.750 0.250
Tm 0.250 0.250 0.750
Tm 0.250 0.750 0.250
Tm 0.750 0.250 0.250
Tm 0.750 0.750 0.750
Th 0.000 0.000 0.500
Th 0.000 0.500 0.000
Th 0.500 0.000 0.000
Th 0.500 0.500 0.500

Properties
**VASP energy**: -82.089 eV/cell
**Energy above the lowest structure with this stoichiometry**: 133 meV/atom
**ΔH_f (0 K)**: 0.1372 eV/atom
**Total magnetization**: 0.00 μB per formula unit

***

# 8
First-principles (GGA-PBE) data for a relaxed LiTmPuOs crystal, as listed in Alexandria via LeMat-Bulk.

Unit cell a=6.850 b=6.850 c=6.850 alpha=90.00 beta=90.00 gamma=90.00
Positions (direct):
Li 0.000 0.000 0.000
Li 0.000 0.500 0.500
Li 0.500 0.000 0.500
Li 0.500 0.500 0.000
Tm 0.250 0.250 0.250
Tm 0.250 0.750 0.750
Tm 0.750 0.250 0.750
Tm 0.750 0.750 0.250
Pu 0.250 0.250 0.750
Pu 0.250 0.750 0.250
Pu 0.750 0.250 0.250
Pu 0.750 0.750 0.750
Os 0.000 0.000 0.500
Os 0.000 0.500 0.000
Os 0.500 0.000 0.000
Os 0.500 0.500 0.500

Properties
**VASP energy**: -129.377 eV/cell
**ΔH_f (0 K)**: -0.0993 eV/atom
**Total magnetization**: 5.53 μB per formula unit

***

# 9
First-principles (GGA-PBE) data for a relaxed Nd2Sm3Ho5 crystal, as listed in Alexandria via LeMat-Bulk.

Unit cell a=9.675 b=9.675 c=9.389 alpha=108.22 beta=108.22 gamma=113.09
Positions (direct):
Nd 0.017 0.267 0.048
Nd 0.267 0.017 0.548
Nd 0.733 0.983 0.452
Nd 0.983 0.733 0.952
Sm 0.222 0.466 0.453
Sm 0.273 0.727 0.250
Sm 0.466 0.222 0.953
Sm 0.534 0.778 0.047
Sm 0.727 0.273 0.750
Sm 0.778 0.534 0.547
Ho 0.023 0.977 0.750
Ho 0.147 0.383 0.776
Ho 0.231 0.769 0.750
Ho 0.383 0.147 0.276
Ho 0.473 0.527 0.250
Ho 0.527 0.473 0.750
Ho 0.617 0.853 0.724
Ho 0.769 0.231 0.250
Ho 0.853 0.617 0.224
Ho 0.977 0.023 0.250

Properties
**VASP energy**: -89.452 eV/cell
**Energy above the lowest structure with this stoichiometry**: 0 meV/atom
**ΔH_f (0 K)**: 0.1856 eV/atom
**Total magnetization**: 0.00 μB per formula unit

***

# 10
First-principles (GGA-PBE) data for a relaxed Fe2Ag2Sb crystal, as listed in Alexandria via LeMat-Bulk.

Unit cell a=3.301 b=3.301 c=17.098 alpha=90.00 beta=90.00 gamma=90.00
Positions (direct):
Fe 0.000 0.500 0.250
Fe 0.000 0.500 0.750
Fe 0.500 0.000 0.250
Fe 0.500 0.000 0.750
Ag 0.000 0.000 0.120
Ag 0.000 0.000 0.880
Ag 0.500 0.500 0.380
Ag 0.500 0.500 0.620
Sb 0.000 0.000 0.500
Sb 0.500 0.500 0.000

Properties
**VASP energy**: -48.757 eV/cell
**Formation energy from raw total energies**: 0.47 eV/atom
**Total magnetization**: 5.09 μB per formula unit

***

# 11
First-principles (GGA-PBE) data for a relaxed PrTlSn2I8 crystal, as listed in Alexandria via LeMat-Bulk.

Unit cell a=7.397 b=9.604 c=7.867 alpha=90.00 beta=90.80 gamma=90.00
Positions (direct):
Pr 0.000 0.000 0.000
Tl 0.000 0.500 0.000
Sn 0.500 0.254 0.500
Sn 0.500 0.746 0.500
I 0.244 0.000 0.669
I 0.253 0.231 0.160
I 0.253 0.769 0.160
I 0.269 0.500 0.638
I 0.731 0.500 0.362
I 0.747 0.231 0.840
I 0.747 0.769 0.840
I 0.756 0.000 0.331

Properties
**VASP energy**: -37.134 eV/cell
**Formation energy from raw total energies**: -0.80 eV/atom
**Total magnetization**: 0.00 μB per formula unit

***

# 12
First-principles (GGA-PBE) data for a relaxed RuAuCl2 crystal, as listed in Alexandria via LeMat-Bulk.

Unit cell a=6.700 b=6.700 c=6.700 alpha=90.00 beta=90.00 gamma=90.00
Positions (direct):
Ru 0.000 0.000 0.000
Ru 0.000 0.500 0.500
Ru 0.500 0.000 0.500
Ru 0.500 0.500 0.000
Au 0.000 0.000 0.500
Au 0.000 0.500 0.000
Au 0.500 0.000 0.000
Au 0.500 0.500 0.500
Cl 0.250 0.250 0.250
Cl 0.250 0.250 0.750
Cl 0.250 0.750 0.250
Cl 0.250 0.750 0.750
Cl 0.750 0.250 0.250
Cl 0.750 0.250 0.750
Cl 0.750 0.750 0.250
Cl 0.750 0.750 0.750

Properties
**VASP energy**: -53.789 eV/cell
**Energy above the lowest structure with this stoichiometry**: 655 meV/atom
**Formation energy from raw total energies**: 0.70 eV/atom
**Total magnetization**: 3.06 μB per formula unit